This record from the Alexandria database describes a relaxed structure of Tl2InCoO4. The functional is PBE+U.

Structure (extended XYZ):
```
16
Lattice="-1.192 5.818 0.577 -3.139 1.846 5.758 8.347 4.302 4.717" Properties=species:S:1:pos:R:3 pbc="T T T"
Tl 5.252 3.820 3.184
Tl 1.903 6.301 2.110
Tl 4.805 7.920 7.203
Tl -1.385 6.956 4.138
In 1.710 7.438 5.670
In 0.000 0.000 0.000
Co 2.306 4.529 5.382
Co -0.596 2.909 0.289
O -2.898 3.699 4.777
O 7.442 5.694 6.020
O 4.854 10.564 9.715
O -1.365 3.976 1.592
O 1.470 5.585 6.652
O 2.615 6.046 4.367
O 0.873 8.840 7.007
O 3.075 3.462 4.078
```

Summary:
SG	Fddd
DFT total energy	-78.232	eV/cell